[1]
Compound: TaAlMo2
Source: Alexandria
Functional: SCAN
Structure: PBEsol geometry

Calculated values
- density of states at the Fermi level (states/eV per cell) = 1.66
- symmetry = No. 6
- formation energy (eV per formula unit) = -0.56

abc: 2.7342 4.4802 5.2441
angles: 90.00 100.93 90.00
Closest atoms and distances in Å follow each position.
Fractional coordinates of all 4 atoms:
Mo1 0.9989 0.0000 0.0092  4 Mo 2.67-2.73, 2 Ta 2.70-2.74, 2 Al 2.73
Mo2 0.7786 0.5000 0.2388  4 Mo 2.67-2.73, 2 Al 2.72-2.73, 2 Ta 2.79
Al1 0.2048 0.5000 0.7515  5 Mo 2.72-3.00, 2 Al 2.73, 2 Ta 2.81
Ta1 0.5176 0.0000 0.5006  4 Mo 2.70-2.79, 2 Ta 2.73, 2 Al 2.81


[2]
Compound: KS2N
Source: Alexandria
Functional: SCAN
Structure: PBEsol geometry

Calculated values
- formation energy (no corrections) (eV per formula unit) = -0.06
- symmetry = No. 166

abc: 5.1328 5.1328 6.5512
angles: 66.94 66.94 60.00
Closest atoms and distances in Å follow each position.
Fractional coordinates of all 4 atoms:
K1 0.5000 0.5000 0.5000  6 S 3.26
S1 0.9103 0.9103 0.2692  1 N 1.57
S2 0.0897 0.0897 0.7308  1 N 1.57
N1 0.0000 0.0000 0.0000  2 S 1.57


[3]
Compound: Ca2CdW
Source: Alexandria
Functional: SCAN
Structure: PBEsol geometry

Calculated values
- density of states at the Fermi level (states/eV per cell) = 3.84
- symmetry = No. 65
- formation energy (eV per formula unit) = 2.84

abc: 2.9523 5.7681 5.7681
angles: 114.04 90.00 90.00
Closest atoms and distances in Å follow each position.
Fractional coordinates of all 4 atoms:
Ca1 0.0000 0.0000 0.5000  4 Ca 2.95-3.14, 4 Cd 3.24, 4 W 3.24
Ca2 0.0000 0.5000 0.0000  4 Ca 2.95-3.14, 4 W 3.24, 4 Cd 3.24
W1 0.5000 0.0000 0.0000  2 W 2.95, 2 Cd 3.14, 8 Ca 3.24
Cd1 0.5000 0.5000 0.5000  2 Cd 2.95, 2 W 3.14, 8 Ca 3.24